Material: TaSe2BrN
Method: DFT, PBE
State: optimized geometry

a b c (Å): 5.010 5.010 3.974
angles (deg): 90.00 90.00 90.00
Space group P4/mmm (No. 123)
Unique sites:
1 Ta 0.000 0.000 0.000
2 Se 0.000 0.500 0.500
3 Br 0.500 0.500 0.000
4 N 0.000 0.000 0.500

Summary:
The uncorrected formation energy is 3.78 eV/f.u. The relative energy among the computed polymorphs comes out at 608 meV/atom.